DFT (PBE) results for crystalline FeNiBMo at its relaxed geometry.

## Properties
Energy above the most stable polymorph in this dataset in eV per atom: 0.000

a b c (Å): 3.9647 3.9647 3.9647
angles (deg): 60.00 60.00 60.00
Last column: nearest neighbours and their distance in Å.
Atoms (fractional coordinates):
Fe (0.0000, 0.0000, 0.0000)  4 Ni 2.43, 4 Mo 2.43
Ni (0.7500, 0.7500, 0.7500)  4 Fe 2.43, 4 B 2.43
B (0.5000, 0.5000, 0.5000)  4 Ni 2.43, 4 Mo 2.43
Mo (0.2500, 0.2500, 0.2500)  4 Fe 2.43, 4 B 2.43

***

DFT (PBE) results for crystalline La2PrMg3Tl2Cd at its relaxed geometry.

## Properties
Total DFT energy (no corrections) in eV/atom: -3.1252

a b c (Å): 4.8138 7.7980 7.7980
angles (deg): 119.93 90.00 90.00
Last column: nearest neighbours and their distance in Å.
Atoms (fractional coordinates):
La (0.0000, 0.2110, 0.7890)  1 Cd 3.30, 4 Tl 3.36, 2 Mg 3.59
La (0.0000, 0.7890, 0.2110)  1 Cd 3.30, 4 Tl 3.36, 2 Mg 3.59
Pr (0.0000, 0.3685, 0.3685)  1 Cd 3.27, 4 Tl 3.34, 2 Mg 3.59
Mg (0.5000, 0.0277, 0.0277)  2 Tl 3.02, 2 Cd 3.05, 2 Mg 3.22
Mg (0.5000, 0.5511, 0.7877)  2 Cd 3.03, 2 Tl 3.04-3.07, 2 Mg 3.19-3.22
Mg (0.5000, 0.7877, 0.5511)  2 Cd 3.03, 2 Tl 3.04-3.07, 2 Mg 3.19-3.22
Tl (0.5000, 0.1238, 0.4544)  3 Mg 3.02-3.07, 2 Pr 3.34, 4 La 3.36
Tl (0.5000, 0.4544, 0.1238)  3 Mg 3.02-3.07, 2 Pr 3.34, 4 La 3.36
Cd (0.0000, 0.7876, 0.7876)  6 Mg 3.03-3.05, 1 Pr 3.27, 2 La 3.30

***

DFT (PBE) results for crystalline Tm3Cu4Si2Ge2 at its relaxed geometry.

## Properties
Energy above the most stable polymorph in this dataset in eV per atom: 0.000

a b c (Å): 7.8540 7.8540 7.8540
angles (deg): 149.76 130.62 59.00
Last column: nearest neighbours and their distance in Å.
Atoms (fractional coordinates):
Tm (0.0000, 0.0000, 0.0000)  4 Ge 2.87, 2 Si 2.96
Tm (0.3704, 0.8704, 0.5000)  2 Si 2.94, 6 Cu 2.94-2.96, 4 Ge 2.99
Tm (0.6296, 0.1296, 0.5000)  2 Si 2.94, 6 Cu 2.94-2.96, 4 Ge 2.99
Cu (0.0172, 0.3262, 0.6910)  3 Si 2.47-2.52, 1 Ge 2.50, 1 Cu 2.51
Cu (0.3649, 0.6738, 0.6910)  3 Si 2.47-2.52, 1 Ge 2.50, 1 Cu 2.51
Cu (0.6351, 0.3262, 0.3090)  3 Si 2.47-2.52, 1 Ge 2.50, 1 Cu 2.51
Cu (0.9828, 0.6738, 0.3090)  3 Si 2.47-2.52, 1 Ge 2.50, 1 Cu 2.51
Si (0.2166, 0.2166, 0.0000)  6 Cu 2.47-2.52
Si (0.7834, 0.7834, 0.0000)  6 Cu 2.47-2.52
Ge (0.3068, 0.5000, 0.8068)  2 Cu 2.50, 1 Ge 2.54
Ge (0.6932, 0.5000, 0.1932)  2 Cu 2.50, 1 Ge 2.54

***

DFT (PBE) results for crystalline TaNbSe4 at its relaxed geometry.

## Properties
Energy above the most stable polymorph in this dataset in eV per atom: 0.000

a b c (Å): 10.7531 10.7531 6.0223
angles (deg): 90.00 90.00 161.45
Last column: nearest neighbours and their distance in Å.
Atoms (fractional coordinates):
Ta (0.0000, 0.0000, 0.0000)  6 Se 2.59-2.61
Nb (0.5000, 0.5000, 0.4858)  6 Se 2.61-2.64
Se (0.0801, 0.9199, 0.3252)  1 Ta 2.59, 2 Nb 2.61
Se (0.4220, 0.5780, 0.8263)  2 Ta 2.61, 1 Nb 2.64
Se (0.5780, 0.4220, 0.8263)  2 Ta 2.61, 1 Nb 2.64
Se (0.9199, 0.0801, 0.3252)  1 Ta 2.59, 2 Nb 2.61

***

DFT (PBE) results for crystalline YMg2Pd at its relaxed geometry.

## Properties
Total DFT energy (no corrections) in eV/atom: -4.0825

a b c (Å): 4.9183 4.9183 4.9183
angles (deg): 60.00 60.00 60.00
Last column: nearest neighbours and their distance in Å.
Atoms (fractional coordinates):
Y (0.0000, 0.0000, 0.0000)  4 Mg 3.01, 4 Pd 3.01
Mg (0.2500, 0.2500, 0.2500)  4 Mg 3.01, 4 Y 3.01
Mg (0.5000, 0.5000, 0.5000)  4 Mg 3.01, 4 Pd 3.01
Pd (0.7500, 0.7500, 0.7500)  4 Mg 3.01, 4 Y 3.01

***

DFT (PBE) results for crystalline DyNiGe2Pd at its relaxed geometry.

## Properties
Total DFT energy (no corrections) in eV/atom: -5.6359

a b c (Å): 5.8095 5.8095 5.8095
angles (deg): 137.87 137.87 61.10
Last column: nearest neighbours and their distance in Å.
Atoms (fractional coordinates):
Dy (0.0000, 0.0000, 0.0000)  8 Ge 3.20, 4 Pd 3.26, 4 Ni 3.26
Ni (0.2500, 0.7500, 0.5000)  4 Ge 2.44
Ge (0.3767, 0.3767, 0.0000)  2 Ni 2.44, 2 Pd 2.44, 1 Ge 2.47
Ge (0.6233, 0.6233, 0.0000)  2 Ni 2.44, 2 Pd 2.44, 1 Ge 2.47
Pd (0.7500, 0.2500, 0.5000)  4 Ge 2.44

***

DFT (PBE) results for crystalline NaTeIr at its relaxed geometry.

## Properties
Energy above the most stable polymorph in this dataset in eV per atom: 0.000

a b c (Å): 4.4979 4.4979 4.4979
angles (deg): 60.00 60.00 60.00
Last column: nearest neighbours and their distance in Å.
Atoms (fractional coordinates):
Na (0.0000, 0.0000, 0.0000)  4 Ir 2.75
Te (0.5000, 0.5000, 0.5000)  4 Ir 2.75
Ir (0.2500, 0.2500, 0.2500)  4 Na 2.75, 4 Te 2.75

***

DFT (PBE) results for crystalline Ho2ErGa3AgIr2 at its relaxed geometry.

## Properties
Total DFT energy (no corrections) in eV/atom: -5.5375

a b c (Å): 3.8424 7.2915 7.2915
angles (deg): 119.86 90.00 90.00
Last column: nearest neighbours and their distance in Å.
Atoms (fractional coordinates):
Ho (0.0000, 0.2052, 0.7948)  4 Ir 2.93, 1 Ag 2.99, 6 Ga 3.01-3.27
Ho (0.0000, 0.7948, 0.2052)  4 Ir 2.93, 1 Ag 2.99, 6 Ga 3.01-3.27
Er (0.0000, 0.3846, 0.3846)  4 Ir 2.92, 1 Ag 2.99, 6 Ga 3.02-3.26
Ga (0.5000, 0.0665, 0.0665)  2 Ir 2.68, 2 Ag 2.77
Ga (0.5000, 0.5234, 0.7947)  2 Ir 2.69, 2 Ag 2.76
Ga (0.5000, 0.7947, 0.5234)  2 Ir 2.69, 2 Ag 2.76
Ag (0.0000, 0.7940, 0.7940)  6 Ga 2.76-2.77, 1 Er 2.99, 2 Ho 2.99
Ir (0.5000, 0.1292, 0.4612)  3 Ga 2.68-2.69, 2 Er 2.92, 4 Ho 2.93
Ir (0.5000, 0.4612, 0.1292)  3 Ga 2.68-2.69, 2 Er 2.92, 4 Ho 2.93

***

Volume per entry: 44; 254; 184; 222; 84; 87; 64; 177 Å³/cell